Model P:
# PBE TcNiBW, optimized geometry
# Total moment ... 0.0 μB per formula unit
data_TcNiBW
_chemical_formula_sum 'Tc4 Ni4 B4 W4'
_cell_length_a 5.739
_cell_length_b 5.739
_cell_length_c 5.739
_cell_angle_alpha 90.00
_cell_angle_beta 90.00
_cell_angle_gamma 90.00
_symmetry_space_group_name_H-M 'F -4 3 m'
_symmetry_Int_Tables_number 216
_symmetry_space_group_name_Hall 'F -4 2 3'
loop_
_atom_site_label
_atom_site_fract_x
_atom_site_fract_y
_atom_site_fract_z
Tc1 0.000 0.000 0.000
Ni1 0.250 0.250 0.250
B1 0.250 0.250 0.750
W1 0.000 0.000 0.500



Model Q:
# PBE TcNiBW, optimized geometry
# Total moment ... 0.1 μB per formula unit
data_TcNiBW
_chemical_formula_sum 'Tc4 Ni4 B4 W4'
_cell_length_a 5.836
_cell_length_b 5.836
_cell_length_c 5.836
_cell_angle_alpha 90.00
_cell_angle_beta 90.00
_cell_angle_gamma 90.00
_symmetry_space_group_name_H-M 'F -4 3 m'
_symmetry_Int_Tables_number 216
_symmetry_space_group_name_Hall 'F -4 2 3'
loop_
_atom_site_label
_atom_site_fract_x
_atom_site_fract_y
_atom_site_fract_z
Tc1 0.000 0.000 0.000
Ni1 0.000 0.000 0.500
B1 0.250 0.250 0.250
W1 0.250 0.250 0.750



The winner here is model P, beating the second structure by 236 meV/atom.



Model P:
# PBE ZrTcNiB, optimized geometry
# Total moment ... 0.0 μB per formula unit
data_ZrTcNiB
_chemical_formula_sum 'Zr4 Tc4 Ni4 B4'
_cell_length_a 5.975
_cell_length_b 5.975
_cell_length_c 5.975
_cell_angle_alpha 90.00
_cell_angle_beta 90.00
_cell_angle_gamma 90.00
_symmetry_space_group_name_H-M 'F -4 3 m'
_symmetry_Int_Tables_number 216
_symmetry_space_group_name_Hall 'F -4 2 3'
loop_
_atom_site_label
_atom_site_fract_x
_atom_site_fract_y
_atom_site_fract_z
Zr1 0.000 0.000 0.000
Tc1 0.250 0.250 0.250
Ni1 0.250 0.250 0.750
B1 0.000 0.000 0.500



Model Q:
# PBE ZrTcNiB, optimized geometry
# Total moment ... 0.0 μB per formula unit
data_ZrTcNiB
_chemical_formula_sum 'Zr4 Tc4 Ni4 B4'
_cell_length_a 5.955
_cell_length_b 5.955
_cell_length_c 5.955
_cell_angle_alpha 90.00
_cell_angle_beta 90.00
_cell_angle_gamma 90.00
_symmetry_space_group_name_H-M 'F -4 3 m'
_symmetry_Int_Tables_number 216
_symmetry_space_group_name_Hall 'F -4 2 3'
loop_
_atom_site_label
_atom_site_fract_x
_atom_site_fract_y
_atom_site_fract_z
Zr1 0.000 0.000 0.000
Tc1 0.000 0.000 0.500
Ni1 0.250 0.250 0.750
B1 0.250 0.250 0.250



The winner here is model Q, beating the second structure by 200 meV/atom.



Model P:
# PBE ThNiB4, optimized geometry
# Total moment ... 0.0 μB per formula unit
data_ThNiB4
_chemical_formula_sum 'Th1 Ni1 B4'
_cell_length_a 3.2363
_cell_length_b 3.2363
_cell_length_c 6.6934
_cell_angle_alpha 90.00
_cell_angle_beta 90.00
_cell_angle_gamma 120.00
_symmetry_space_group_name_H-M 'P 6/m m m'
_symmetry_Int_Tables_number 191
_symmetry_space_group_name_Hall '-P 6 2'
loop_
_atom_site_label
_atom_site_fract_x
_atom_site_fract_y
_atom_site_fract_z
Th1 0.0000 0.0000 0.0000
Ni1 0.0000 0.0000 0.5000
B1 0.3333 0.6667 0.3079



Model Q:
# PBE ThNiB4, optimized geometry
# Total moment ... 0.0 μB per formula unit
data_ThNiB4
_chemical_formula_sum 'Th2 Ni2 B8'
_cell_length_a 3.184
_cell_length_b 5.241
_cell_length_c 8.252
_cell_angle_alpha 90.00
_cell_angle_beta 90.00
_cell_angle_gamma 90.00
_symmetry_space_group_name_H-M 'I m m m'
_symmetry_Int_Tables_number 71
_symmetry_space_group_name_Hall '-I 2 2'
loop_
_atom_site_label
_atom_site_fract_x
_atom_site_fract_y
_atom_site_fract_z
Th1 0.000 0.000 0.000
Ni1 0.000 0.000 0.500
B1 0.000 0.321 0.258



The winner here is model P, beating the second structure by 172 meV/atom.



Model P:
# PBE TlNiB, optimized geometry
# Total moment ... 0.0 μB per formula unit
data_TlNiB
_chemical_formula_sum 'Tl4 Ni4 B4'
_cell_length_a 5.830
_cell_length_b 5.830
_cell_length_c 5.830
_cell_angle_alpha 90.00
_cell_angle_beta 90.00
_cell_angle_gamma 90.00
_symmetry_space_group_name_H-M 'F -4 3 m'
_symmetry_Int_Tables_number 216
_symmetry_space_group_name_Hall 'F -4 2 3'
loop_
_atom_site_label
_atom_site_fract_x
_atom_site_fract_y
_atom_site_fract_z
Tl1 0.000 0.000 0.000
Ni1 0.250 0.250 0.250
B1 0.250 0.250 0.750



Model Q:
# PBE TlNiB, optimized geometry
# Total moment ... 0.0 μB per formula unit
data_TlNiB
_chemical_formula_sum 'Tl4 Ni4 B4'
_cell_length_a 5.539
_cell_length_b 5.539
_cell_length_c 5.539
_cell_angle_alpha 90.00
_cell_angle_beta 90.00
_cell_angle_gamma 90.00
_symmetry_space_group_name_H-M 'F -4 3 m'
_symmetry_Int_Tables_number 216
_symmetry_space_group_name_Hall 'F -4 2 3'
loop_
_atom_site_label
_atom_site_fract_x
_atom_site_fract_y
_atom_site_fract_z
Tl1 0.000 0.000 0.000
Ni1 0.000 0.000 0.500
B1 0.250 0.250 0.750



The winner here is model Q, beating the second structure by 581 meV/atom.



Model P:
# PBE UNiB, optimized geometry
# Total moment ... 0.5 μB per formula unit
data_UNiB
_chemical_formula_sum 'U4 Ni4 B4'
_cell_length_a 5.913
_cell_length_b 5.913
_cell_length_c 5.913
_cell_angle_alpha 90.00
_cell_angle_beta 90.00
_cell_angle_gamma 90.00
_symmetry_space_group_name_H-M 'F -4 3 m'
_symmetry_Int_Tables_number 216
_symmetry_space_group_name_Hall 'F -4 2 3'
loop_
_atom_site_label
_atom_site_fract_x
_atom_site_fract_y
_atom_site_fract_z
U1 0.000 0.000 0.000
Ni1 0.250 0.250 0.250
B1 0.250 0.250 0.750



Model Q:
# PBE UNiB, optimized geometry
# Total moment ... 0.9 μB per formula unit
data_UNiB
_chemical_formula_sum 'U4 Ni4 B4'
_cell_length_a 5.754
_cell_length_b 5.754
_cell_length_c 5.754
_cell_angle_alpha 90.00
_cell_angle_beta 90.00
_cell_angle_gamma 90.00
_symmetry_space_group_name_H-M 'F -4 3 m'
_symmetry_Int_Tables_number 216
_symmetry_space_group_name_Hall 'F -4 2 3'
loop_
_atom_site_label
_atom_site_fract_x
_atom_site_fract_y
_atom_site_fract_z
U1 0.000 0.000 0.000
Ni1 0.250 0.250 0.250
B1 0.000 0.000 0.500



Model R:
# PBE UNiB, optimized geometry
# Total moment ... 0.0 μB per formula unit
data_UNiB
_chemical_formula_sum 'U4 Ni4 B4'
_cell_length_a 6.523
_cell_length_b 3.548
_cell_length_c 6.646
_cell_angle_alpha 90.00
_cell_angle_beta 90.00
_cell_angle_gamma 90.00
_symmetry_space_group_name_H-M 'P n m a'
_symmetry_Int_Tables_number 62
loop_
_symmetry_equiv_pos_as_xyz
'x,y,z'
'-x,-y,-z'
'-x+1/2,-y,z+1/2'
'x+1/2,y,-z+1/2'
'x+1/2,-y+1/2,-z+1/2'
'-x+1/2,y+1/2,z+1/2'
'-x,y+1/2,-z'
'x,-y+1/2,z'
loop_
_atom_site_label
_atom_site_fract_x
_atom_site_fract_y
_atom_site_fract_z
U1 0.011 0.250 0.145
Ni1 0.124 0.250 0.561
B1 0.205 0.750 0.378



Model S:
# PBE UNiB, optimized geometry
# Total moment ... 1.0 μB per formula unit
data_UNiB
_chemical_formula_sum 'U4 Ni4 B4'
_cell_length_a 5.648
_cell_length_b 5.648
_cell_length_c 5.648
_cell_angle_alpha 90.00
_cell_angle_beta 90.00
_cell_angle_gamma 90.00
_symmetry_space_group_name_H-M 'F -4 3 m'
_symmetry_Int_Tables_number 216
_symmetry_space_group_name_Hall 'F -4 2 3'
loop_
_atom_site_label
_atom_site_fract_x
_atom_site_fract_y
_atom_site_fract_z
U1 0.000 0.000 0.000
Ni1 0.000 0.000 0.500
B1 0.250 0.250 0.750



The winner here is model R, beating the second structure by 372 meV/atom.



Model P:
# PBE NiB4W, optimized geometry
# Total moment ... 0.0 μB per formula unit
data_NiB4W
_chemical_formula_sum 'Ni1 B4 W1'
_cell_length_a 2.9739
_cell_length_b 2.9739
_cell_length_c 6.5939
_cell_angle_alpha 90.00
_cell_angle_beta 90.00
_cell_angle_gamma 120.00
_symmetry_space_group_name_H-M 'P 6/m m m'
_symmetry_Int_Tables_number 191
_symmetry_space_group_name_Hall '-P 6 2'
loop_
_atom_site_label
_atom_site_fract_x
_atom_site_fract_y
_atom_site_fract_z
Ni1 0.0000 0.0000 0.0000
B1 0.3333 0.6667 0.2436
W1 0.0000 0.0000 0.5000



Model Q:
# PBE NiB4W, optimized geometry
# Total moment ... 0.0 μB per formula unit
data_NiB4W
_chemical_formula_sum 'Ni2 B8 W2'
_cell_length_a 2.989
_cell_length_b 5.244
_cell_length_c 6.504
_cell_angle_alpha 90.00
_cell_angle_beta 90.00
_cell_angle_gamma 90.00
_symmetry_space_group_name_H-M 'I m m m'
_symmetry_Int_Tables_number 71
_symmetry_space_group_name_Hall '-I 2 2'
loop_
_atom_site_label
_atom_site_fract_x
_atom_site_fract_y
_atom_site_fract_z
Ni1 0.000 0.000 0.000
B1 0.000 0.331 0.249
W1 0.000 0.000 0.500



The winner here is model P, beating the second structure by 27 meV/atom.